Record 1
Below is an optimized crystal structure of Tm8Tc2Hg, with properties calculated at the PBE level.

## Properties
Space group = Cm, No. 8
N(E_F) = 0.820 states/eV/atom
Mass density = 10.51 g/cm3
Electronic total energy = -5.321 eV/atom

Cell lengths 5.1970, 6.8521, 8.8624 Å; angles 112.69, 107.06, 90.01 degrees
Last column: nearest neighbours and their distance in Å.
Element x y z (fractional)
Tm 0.6362 0.2656 0.9087  2 Tc 2.85
Tm 0.9712 0.0177 0.5790  1 Hg 2.95, 3 Tc 3.09-3.19, 3 Tm 3.25-3.27
Tm 0.3014 0.3476 0.2392  1 Hg 2.95, 3 Tc 3.08-3.19, 3 Tm 3.25-3.27
Tm 0.7477 0.9366 0.1318  1 Tc 2.67
Tm 0.3458 0.8588 0.3284  3 Tc 2.86-3.01
Tm 0.9269 0.4400 0.4900  3 Tc 2.86-3.01
Tm 0.1368 0.5460 0.9097  1 Hg 2.90, 2 Tm 3.23
Tm 0.5254 0.7134 0.6871  1 Tc 2.68
Tc 0.7995 0.6166 0.2363  3 Tm 2.67-2.86
Tc 0.4725 0.2885 0.5807  3 Tm 2.68-2.86
Hg 0.1365 0.9692 0.9092  3 Tm 2.90-2.95

---

Record 2
Below is an optimized crystal structure of Tm4TcHg, with properties calculated at the PBE level.

## Properties
Energy relative to the lowest polymorph listed for this composition = 0.0 meV/atom
Space group = C2/c, No. 15
N(E_F) = 0.746 states/eV/atom
Mass density = 10.30 g/cm3
Electronic total energy = -5.043 eV/atom

Cell lengths 6.2055, 7.5328, 7.5328 Å; angles 111.93, 98.78, 98.78 degrees
Last column: nearest neighbours and their distance in Å.
Element x y z (fractional)
Tm 0.9040 0.6385 0.7979  2 Tc 2.90-2.97, 2 Hg 3.16-3.24
Tm 0.0428 0.9336 0.2759  2 Tc 2.75-2.80
Tm 0.5960 0.2021 0.3615  2 Tc 2.90-2.97, 2 Hg 3.16-3.24
Tm 0.4572 0.7241 0.0664  2 Tc 2.75-2.80
Tm 0.5428 0.2759 0.9336  2 Tc 2.75-2.80
Tm 0.4040 0.7979 0.6385  2 Tc 2.90-2.97, 2 Hg 3.16-3.24
Tm 0.9572 0.0664 0.7241  2 Tc 2.75-2.80
Tm 0.0960 0.3615 0.2021  2 Tc 2.90-2.97, 2 Hg 3.16-3.24
Tc 0.2500 0.9989 0.0011  8 Tm 2.75-2.97
Tc 0.7500 0.0011 0.9989  8 Tm 2.75-2.97
Hg 0.7500 0.6271 0.3729  8 Tm 3.09-3.28
Hg 0.2500 0.3729 0.6271  8 Tm 3.09-3.28

---

Record 3
Below is an optimized crystal structure of Tm4TcHg3, with properties calculated at the PBE level.

## Properties
Space group = P4/mmm, No. 123
N(E_F) = 0.876 states/eV/atom
Mass density = 12.21 g/cm3
Electronic total energy = -4.030 eV/atom

Cell lengths 3.5493, 3.5493, 14.8555 Å; angles 90.00, 90.00, 90.00 degrees
Last column: nearest neighbours and their distance in Å.
Element x y z (fractional)
Tm 0.0000 0.0000 0.8936  4 Tc 2.97, 1 Tm 3.16, 4 Hg 3.20
Tm 0.0000 0.0000 0.1064  4 Tc 2.97, 1 Tm 3.16, 4 Hg 3.20
Tm 0.0000 0.0000 0.3708  8 Hg 3.16-3.17
Tm 0.0000 0.0000 0.6292  8 Hg 3.16-3.17
Tc 0.5000 0.5000 0.0000  8 Tm 2.97
Hg 0.5000 0.5000 0.2400  8 Tm 3.17-3.20, 4 Hg 3.55
Hg 0.5000 0.5000 0.5000  8 Tm 3.16
Hg 0.5000 0.5000 0.7600  8 Tm 3.17-3.20, 4 Hg 3.55

---

Record 4
Below is an optimized crystal structure of Tm4TcHg, with properties calculated at the PBE level.

## Properties
Energy relative to the lowest polymorph listed for this composition = 203.3 meV/atom
Space group = R-3m, No. 166
N(E_F) = 0.981 states/eV/atom
Mass density = 9.73 g/cm3
Electronic total energy = -4.839 eV/atom

Cell lengths 4.9895, 4.9887, 8.2354 Å; angles 72.37, 72.37, 59.99 degrees
Last column: nearest neighbours and their distance in Å.
Element x y z (fractional)
Tm 0.6340 0.6339 0.0982  3 Tc 2.98, 1 Hg 3.10, 3 Tm 3.25
Tm 0.3660 0.3661 0.9018  3 Tc 2.98, 1 Hg 3.10, 3 Tm 3.25
Tm 0.1180 0.1181 0.6460  1 Tc 2.73
Tm 0.8820 0.8819 0.3540  1 Tc 2.73
Tc 0.0000 0.0000 0.0000  8 Tm 2.73-2.98
Hg 0.5000 0.5000 0.5000  8 Tm 3.09-3.10

---

Record 5
Below is an optimized crystal structure of Tm8TcHg2, with properties calculated at the PBE level.

## Properties
Space group = C2/m, No. 12
N(E_F) = 0.528 states/eV/atom
Mass density = 10.58 g/cm3
Electronic total energy = -4.478 eV/atom

Cell lengths 5.2194, 6.8613, 8.9984 Å; angles 108.82, 106.86, 90.00 degrees
Last column: nearest neighbours and their distance in Å.
Element x y z (fractional)
Tm 0.4076 0.5743 0.8151  1 Tc 2.82
Tm 0.6558 0.9536 0.3117  1 Tc 2.81, 1 Hg 2.97
Tm 0.8054 0.7113 0.6108  1 Hg 2.93
Tm 0.9770 0.2073 0.9540  1 Hg 3.02, 2 Tc 3.06, 3 Tm 3.20-3.32
Tm 0.1946 0.2887 0.3892  1 Hg 2.93
Tm 0.3442 0.0464 0.6883  1 Tc 2.81, 1 Hg 2.97
Tm 0.5924 0.4257 0.1849  1 Tc 2.82
Tm 0.0230 0.7927 0.0460  1 Hg 3.02, 2 Tc 3.06, 3 Tm 3.20-3.32
Tc 0.5000 0.0000 0.0000  8 Tm 2.81-3.06
Hg 0.8168 0.2953 0.6336  5 Tm 2.93-3.24
Hg 0.1832 0.7047 0.3664  5 Tm 2.93-3.24

---

Record 6
Below is an optimized crystal structure of Tm7Tc2Hg2, with properties calculated at the PBE level.

## Properties
Space group = Cmmm, No. 65
N(E_F) = 0.717 states/eV/atom
Mass density = 10.11 g/cm3
Electronic total energy = -4.890 eV/atom

Cell lengths 6.5064, 7.5450, 6.5064 Å; angles 90.00, 113.78, 90.00 degrees
Last column: nearest neighbours and their distance in Å.
Element x y z (fractional)
Tm 0.0000 0.2694 0.5000  2 Tc 2.75
Tm 0.5000 0.7306 0.0000  2 Tc 2.75
Tm 0.0000 0.7306 0.5000  2 Tc 2.75
Tm 0.5000 0.2694 0.0000  2 Tc 2.75
Tm 0.0000 0.0000 0.0000  2 Tc 3.25
Tm 0.5000 0.7805 0.5000  2 Tc 2.75, 2 Hg 3.03
Tm 0.5000 0.2195 0.5000  2 Tc 2.75, 2 Hg 3.03
Tc 0.7018 0.0000 0.2982  6 Tm 2.75
Tc 0.2982 0.0000 0.7018  6 Tm 2.75
Hg 0.8042 0.5000 0.8042  1 Hg 2.78, 2 Tm 3.03
Hg 0.1958 0.5000 0.1958  1 Hg 2.78, 2 Tm 3.03

---

Number 1: ΔE_f -3.607 kcal/mol of atoms. Number 2: ΔE_f -6.544 kcal/mol of atoms. Number 3: ΔE_f -8.896 kcal/mol of atoms. Number 4: ΔE_f -1.855 kcal/mol of atoms. Number 5: ΔE_f -5.286 kcal/mol of atoms. Number 6: ΔE_f -2.425 kcal/mol of atoms.